[1]
A relaxed CrIn2AsN crystal, computed with GGA-PBE.

Lattice parameters (Å, degrees): 5.5488 3.6036 5.5488 90.00 90.00 90.00
Positions (direct):
1 Cr 0.5000 0.5000 0.5000
2 As 0.0000 0.0000 0.0000
3 N 0.0000 0.5000 0.0000
4 In 0.0000 0.0000 0.5000
5 In 0.5000 0.0000 0.0000

Properties
- total magnetization (μB per formula unit) = 0.02
- raw formation energy (kJ per mole of atoms) = 134.34
- offset from the most stable computed form (meV per atom) = 316

[2]
A relaxed PrBeAu3 crystal, computed with GGA-PBE.

Lattice parameters (Å, degrees): 4.6445 4.6445 4.6445 90.00 90.00 90.00
Positions (direct):
1 Pr 0.5000 0.5000 0.5000
2 Be 0.0000 0.0000 0.0000
3 Au 0.0000 0.5000 0.0000
4 Au 0.0000 0.0000 0.5000
5 Au 0.5000 0.0000 0.0000

Properties
- total magnetization (μB per formula unit) = 0.00
- ΔH_f (0 K) (eV/f.u.) = -2.348
- offset from the most stable computed form (meV per atom) = 76